# Tl6Se2SI, optimized geometry, DFT PBE-GGA
# ΔE_f (raw) in eV/atom: -0.3427
# Theoretical density in g cm⁻³: 7.13
data_Tl6Se2SI
_chemical_formula_sum 'Tl6 Se2 S1 I1'
_cell_length_a 7.432
_cell_length_b 7.519
_cell_length_c 8.108
_cell_angle_alpha 67.31
_cell_angle_beta 66.76
_cell_angle_gamma 63.13
_symmetry_space_group_name_H-M 'P 1'
_symmetry_Int_Tables_number 1
loop_
_symmetry_equiv_pos_as_xyz
'x,y,z'
loop_
_atom_site_label
_atom_site_fract_x
_atom_site_fract_y
_atom_site_fract_z
Tl1 0.000 0.000 0.000
Tl2 0.058 0.460 0.056
Tl3 0.132 0.705 0.462
Tl4 0.353 0.156 0.451
Tl5 0.536 0.556 0.036
Tl6 0.678 0.400 0.599
Se1 0.316 0.752 0.714
Se2 0.822 0.140 0.350
S1 0.941 0.411 0.776
I1 0.511 0.048 0.996